Material: Rb3Mo5O12
Method: DFT, GGA+U
State: optimized geometry Values from VASP.

total magnetization	36.00	μB per cell
volume	1310	Å³/cell
E_tot	-6.53	eV per atom
SG	Ia-3d (230)
ρ	4.70	g/cm3

Geometry as Quantum ESPRESSO input:
```
&SYSTEM
  ibrav = 0, nat = 80, ntyp = 3
/
ATOMIC_SPECIES
Rb 85.47 Rb.upf
Mo 95.94 Mo.upf
O 16.00 O.upf
CELL_PARAMETERS angstrom
-11.5805 0.2119 -2.8997
3.5399 -11.3139 1.4240
1.6626 6.0026 10.1866
ATOMIC_POSITIONS crystal
Rb 0.7500 0.3750 0.1250
Rb 0.8750 0.7500 0.1250
Rb 0.3750 0.7500 0.6250
Rb 0.2500 0.1250 0.3750
Rb 0.8750 0.1250 0.2500
Rb 0.3750 0.6250 0.2500
Rb 0.6250 0.3750 0.7500
Rb 0.1250 0.8750 0.7500
Rb 0.7500 0.8750 0.6250
Rb 0.6250 0.2500 0.3750
Rb 0.1250 0.2500 0.8750
Rb 0.2500 0.6250 0.8750
Mo 0.1250 0.3750 0.2500
Mo 0.0000 0.5000 0.0000
Mo 0.0000 0.0000 0.0000
Mo 0.3750 0.2500 0.1250
Mo 0.5000 0.0000 0.5000
Mo 0.5000 0.5000 0.0000
Mo 0.1250 0.7500 0.3750
Mo 0.7500 0.1250 0.8750
Mo 0.7500 0.6250 0.3750
Mo 0.3750 0.1250 0.7500
Mo 0.6250 0.8750 0.2500
Mo 0.5000 0.5000 0.5000
Mo 0.5000 0.0000 0.0000
Mo 0.0000 0.0000 0.5000
Mo 0.2500 0.3750 0.6250
Mo 0.2500 0.8750 0.1250
Mo 0.0000 0.5000 0.5000
Mo 0.8750 0.2500 0.6250
Mo 0.6250 0.7500 0.8750
Mo 0.8750 0.6250 0.7500
O 0.6863 0.1068 0.9958
O 0.3095 0.4958 0.3890
O 0.0042 0.3932 0.3137
O 0.4958 0.1863 0.1068
O 0.5796 0.6863 0.6905
O 0.0042 0.6110 0.1905
O 0.3095 0.8137 0.4204
O 0.1110 0.9204 0.1068
O 0.6110 0.0042 0.6905
O 0.6863 0.5796 0.1905
O 0.8137 0.5042 0.3932
O 0.8095 0.8890 0.9958
O 0.1068 0.6863 0.4958
O 0.3932 0.3890 0.0796
O 0.0796 0.8890 0.3932
O 0.4204 0.1068 0.6110
O 0.0796 0.1905 0.1863
O 0.5042 0.6905 0.1110
O 0.8095 0.9204 0.3137
O 0.1068 0.4204 0.1110
O 0.3932 0.0042 0.8137
O 0.6110 0.6068 0.4204
O 0.8890 0.8095 0.4958
O 0.8137 0.3095 0.9204
O 0.3890 0.3932 0.5796
O 0.1110 0.1905 0.5042
O 0.1863 0.6905 0.0796
O 0.1905 0.0796 0.6863
O 0.6068 0.9958 0.1863
O 0.8932 0.5796 0.8890
O 0.4958 0.3095 0.8890
O 0.5796 0.8932 0.3890
O 0.9204 0.8095 0.8137
O 0.9204 0.1110 0.6068
O 0.8932 0.3137 0.5042
O 0.1905 0.1110 0.0042
O 0.6068 0.6110 0.9204
O 0.3890 0.9958 0.3095
O 0.3137 0.4204 0.8095
O 0.1863 0.4958 0.6068
O 0.8890 0.0796 0.8932
O 0.6905 0.1863 0.5796
O 0.5042 0.8137 0.8932
O 0.9958 0.3890 0.8095
O 0.4204 0.3137 0.3095
O 0.9958 0.6068 0.6863
O 0.6905 0.5042 0.6110
O 0.3137 0.8932 0.0042
```